1) Computed, not measured: a geometry-optimized RbHf2Re structure at the PBE-GGA level of DFT.

Geometry as POSCAR:
```
RbHf2Re
1.0
0.000 3.498 3.498
3.498 0.000 3.498
3.498 3.498 0.000
Hf Rb Re
2 1 1
Direct
0.750 0.750 0.750 Hf
0.250 0.250 0.250 Hf
0.000 0.000 0.000 Rb
0.500 0.500 0.500 Re
```

2) Computed, not measured: a geometry-optimized RbHf2Re structure at the PBE-GGA level of DFT.

Geometry as POSCAR:
```
RbHf2Re
1.0
6.791 0.000 0.000
0.000 6.791 0.000
3.396 3.396 7.236
Hf Rb Re
4 2 2
Direct
0.874 0.625 0.250 Hf
0.876 0.125 0.250 Hf
0.875 0.126 0.750 Hf
0.375 0.124 0.750 Hf
0.250 0.750 0.500 Rb
0.500 0.500 0.000 Rb
0.750 0.250 0.500 Re
0.000 0.000 0.000 Re
```

According to the calculations, the structures order from most to least stable as 1), 2).

1) Computed, not measured: a geometry-optimized Rb2HfRe structure at the PBE-GGA level of DFT.

Geometry as POSCAR:
```
Rb2HfRe
1.0
13.308 0.000 0.000
0.000 13.308 0.000
6.654 6.654 2.371
Rb Hf Re
4 2 2
Direct
0.960 0.625 0.250 Rb
0.875 0.040 0.750 Rb
0.790 0.125 0.250 Rb
0.375 0.210 0.750 Rb
0.500 0.500 0.000 Hf
0.250 0.750 0.500 Hf
0.000 0.000 0.000 Re
0.750 0.250 0.500 Re
```

2) Computed, not measured: a geometry-optimized Rb2HfRe structure at the PBE-GGA level of DFT.

Geometry as POSCAR:
```
Rb2HfRe
1.0
0.000 4.054 4.054
4.054 0.000 4.054
4.054 4.054 0.000
Rb Hf Re
2 1 1
Direct
0.750 0.750 0.750 Rb
0.250 0.250 0.250 Rb
0.000 0.000 0.000 Hf
0.500 0.500 0.500 Re
```

According to the calculations, the structures order from most to least stable as 1), 2).

1) Computed, not measured: a geometry-optimized RbHf4S8 structure at the PBE-GGA level of DFT.

Geometry as POSCAR:
```
RbHf4S8
1.0
6.596 0.000 3.008
2.612 6.057 3.008
-0.270 -0.178 9.329
Hf S Rb
4 8 1
Direct
0.500 0.000 0.000 Hf
0.000 0.000 0.000 Hf
0.500 0.500 0.000 Hf
0.000 0.500 0.000 Hf
0.225 0.727 0.823 S
0.273 0.775 0.177 S
0.275 0.275 0.176 S
0.727 0.225 0.823 S
0.775 0.273 0.177 S
0.725 0.725 0.824 S
0.225 0.225 0.823 S
0.775 0.775 0.177 S
0.500 0.500 0.500 Rb
```

2) Computed, not measured: a geometry-optimized RbHf4S8 structure at the PBE-GGA level of DFT.

Geometry as POSCAR:
```
RbHf4S8
1.0
7.784 0.000 0.000
3.892 6.741 0.000
3.892 2.247 6.356
Rb Hf S
1 4 8
Direct
0.750 0.750 0.750 Rb
0.371 0.371 0.371 Hf
0.886 0.371 0.371 Hf
0.371 0.371 0.886 Hf
0.371 0.886 0.371 Hf
0.603 0.603 0.190 S
0.603 0.190 0.603 S
0.591 0.136 0.136 S
0.136 0.591 0.136 S
0.136 0.136 0.591 S
0.136 0.136 0.136 S
0.190 0.603 0.603 S
0.603 0.603 0.603 S
```

According to the calculations, the structures order from most to least stable as 1), 2).

1) Computed, not measured: a geometry-optimized RbHf3S structure at the PBE-GGA level of DFT.

Geometry as POSCAR:
```
RbHf3S
1.0
4.994 0.000 0.000
0.000 4.994 0.000
0.000 0.000 4.994
Hf Rb S
3 1 1
Direct
0.500 0.000 0.000 Hf
0.000 0.000 0.500 Hf
0.000 0.500 0.000 Hf
0.500 0.500 0.500 Rb
0.000 0.000 0.000 S
```

2) Computed, not measured: a geometry-optimized RbHf3S structure at the PBE-GGA level of DFT.

Geometry as POSCAR:
```
RbHf3S
1.0
-2.398 -2.180 3.919
-2.405 -3.125 -3.211
3.785 -3.368 0.442
Hf Rb S
3 1 1
Direct
0.500 0.000 0.000 Hf
0.000 0.500 0.000 Hf
0.000 0.000 0.500 Hf
0.000 0.000 0.000 Rb
0.500 0.500 0.500 S
```

According to the calculations, the structures order from most to least stable as 1), 2).